No. 1
Here is crystalline CdBiBF10 at its relaxed geometry from the Alexandria database. Energies are from PBEsol.

Properties
The calculation puts the total energy at -0.17212 hartree per atom. The crystal system is monoclinic. The space group is P2_1/c, No. 14.

Lattice parameters (Å, degrees): 8.340 9.404 9.073 90.00 93.14 90.00
Fractional positions:
Cd 0.173 0.024 0.293
Cd 0.173 0.476 0.793
Cd 0.827 0.524 0.207
Cd 0.827 0.976 0.707
Bi 0.334 0.066 0.729
Bi 0.334 0.434 0.229
Bi 0.666 0.566 0.771
Bi 0.666 0.934 0.271
B 0.063 0.725 0.504
B 0.063 0.775 0.004
B 0.937 0.225 0.996
B 0.937 0.275 0.496
F 0.007 0.146 0.114
F 0.007 0.354 0.614
F 0.058 0.208 0.418
F 0.058 0.292 0.918
F 0.088 0.058 0.693
F 0.088 0.442 0.193
F 0.152 0.633 0.599
F 0.152 0.867 0.099
F 0.168 0.672 0.950
F 0.168 0.828 0.450
F 0.320 0.215 0.221
F 0.320 0.285 0.721
F 0.326 0.080 0.948
F 0.326 0.420 0.448
F 0.340 0.646 0.232
F 0.340 0.854 0.732
F 0.343 0.076 0.503
F 0.343 0.424 0.003
F 0.420 0.576 0.759
F 0.420 0.924 0.259
F 0.580 0.076 0.741
F 0.580 0.424 0.241
F 0.657 0.576 0.997
F 0.657 0.924 0.497
F 0.660 0.146 0.268
F 0.660 0.354 0.768
F 0.674 0.580 0.552
F 0.674 0.920 0.052
F 0.680 0.715 0.279
F 0.680 0.785 0.779
F 0.832 0.172 0.550
F 0.832 0.328 0.050
F 0.848 0.133 0.901
F 0.848 0.367 0.401
F 0.912 0.558 0.807
F 0.912 0.942 0.307
F 0.942 0.708 0.082
F 0.942 0.792 0.582
F 0.993 0.646 0.386
F 0.993 0.854 0.886


No. 2
Here is crystalline NaCd2BiB at its relaxed geometry from the Alexandria database. Energies are from PBEsol.

Properties
For the energy of formation, the calculation gives 495.2 kJ/mol of formula units. The crystal system is tetragonal. The space group is P4/mmm, No. 123.

Lattice parameters (Å, degrees): 5.713 5.713 4.920 90.00 90.00 90.00
Fractional positions:
Na 0.000 0.000 0.000
Cd 0.000 0.500 0.500
Cd 0.500 0.000 0.500
Bi 0.500 0.500 0.500
B 0.500 0.500 0.000


No. 3
Here is crystalline MnCoBi2B at its relaxed geometry from the Alexandria database. Energies are from PBEsol.

Properties
For the energy of formation, the calculation gives 643.0 kJ/mol of formula units. The crystal system is tetragonal. The space group is P4/mmm, No. 123.

Lattice parameters (Å, degrees): 4.860 4.860 4.570 90.00 90.00 90.00
Fractional positions:
Mn 0.000 0.000 0.000
Co 0.000 0.000 0.500
Bi 0.000 0.500 0.500
Bi 0.500 0.000 0.500
B 0.500 0.500 0.000


No. 4
Here is crystalline CoTcBi2B at its relaxed geometry from the Alexandria database. Energies are from PBEsol.

Properties
For the energy of formation, the calculation gives 844.6 kJ/mol of formula units. The crystal system is tetragonal. The space group is P4/mmm, No. 123.

Lattice parameters (Å, degrees): 5.155 5.155 4.393 90.00 90.00 90.00
Fractional positions:
Co 0.000 0.000 0.000
Tc 0.000 0.000 0.500
Bi 0.000 0.500 0.500
Bi 0.500 0.000 0.500
B 0.500 0.500 0.000


No. 5
Here is crystalline CrBiB2 at its relaxed geometry from the Alexandria database. Energies are from PBEsol.

Properties
For the energy of formation, the calculation gives 423.1 kJ/mol of formula units. The crystal system is tetragonal. The space group is I-42d, No. 122.

Lattice parameters (Å, degrees): 6.167 6.167 6.167 131.86 131.86 70.45
Fractional positions:
Cr 0.000 0.000 0.000
Cr 0.750 0.250 0.500
Bi 0.250 0.750 0.500
Bi 0.500 0.500 0.000
B 0.046 0.625 0.921
B 0.375 0.296 0.421
B 0.704 0.125 0.079
B 0.875 0.954 0.579


No. 6
Here is crystalline CrGeBi2B at its relaxed geometry from the Alexandria database. Energies are from PBEsol.

Properties
For the energy of formation, the calculation gives 789.9 kJ/mol of formula units. The crystal system is tetragonal. The space group is P4/mmm, No. 123.

Lattice parameters (Å, degrees): 5.443 5.443 4.608 90.00 90.00 90.00
Fractional positions:
Cr 0.000 0.000 0.000
Ge 0.000 0.000 0.500
Bi 0.000 0.500 0.500
Bi 0.500 0.000 0.500
B 0.500 0.500 0.000


no.,volume (Å³ per cell),M_tot (μB/atom)
1,710.5,0.00
2,160.6,0.00
3,107.9,0.89
4,116.7,0.03
5,127.5,0.00
6,136.5,0.73